PdAuNO | GGA-PBE | relaxed

```
PdAuNO
1.0
1.0994 2.5961 2.8316
-2.5161 2.7122 -1.5097
-4.8236 -2.2726 3.9565
N Pd O Au
2 2 2 2
Direct
0.7500 0.7500 0.3951 N
0.2500 0.2500 0.6049 N
0.7500 0.2500 0.5000 Pd
0.2500 0.7500 0.5000 Pd
0.7500 0.2500 0.0000 O
0.2500 0.7500 0.0000 O
0.7500 0.7500 0.8764 Au
0.2500 0.2500 0.1236 Au
```

PmAuNO | GGA-PBE | relaxed

```
PmAuNO
1.0
3.2105 1.1174 2.0005
-2.3844 -1.3705 4.5922
2.3038 -5.7099 -0.5078
Pm O Au N
2 2 2 2
Direct
0.0000 0.9715 0.7215 Pm
0.0000 0.4715 0.2785 Pm
0.5000 0.8841 0.8764 O
0.5000 0.3841 0.1236 O
0.5000 0.9539 0.2620 Au
0.5000 0.4539 0.7380 Au
0.0000 0.4444 0.6599 N
0.0000 0.9444 0.3401 N
```

PmAuNO | GGA-PBE | relaxed

```
PmAuNO
1.0
-3.2407 -1.0490 2.0806
1.5506 -3.6312 0.5843
3.3604 2.4782 6.4835
Au O Pm N
2 2 2 2
Direct
0.2500 0.7500 0.5000 Au
0.7500 0.2500 0.5000 Au
0.7500 0.2500 0.0000 O
0.2500 0.7500 0.0000 O
0.7500 0.7500 0.8500 Pm
0.2500 0.2500 0.1500 Pm
0.2500 0.2500 0.6732 N
0.7500 0.7500 0.3268 N
```

PmAuNO | GGA-PBE | relaxed

```
PmAuNO
1.0
4.2713 0.0000 0.0000
0.0000 5.0678 0.0000
0.0000 0.0000 7.6063
N Au Pm O
2 2 2 2
Direct
0.0000 0.8600 0.2962 N
0.0000 0.3600 0.7038 N
0.0000 0.0789 0.5212 Au
0.0000 0.5789 0.4788 Au
0.5000 0.9347 0.1620 Pm
0.5000 0.4347 0.8380 Pm
0.5000 0.8804 0.8818 O
0.5000 0.3804 0.1182 O
```

PmAuNO | GGA-PBE | relaxed

```
PmAuNO
1.0
2.7850 -2.7850 0.0000
2.7850 2.7850 0.0000
0.0000 0.0000 7.8700
N Pm Au O
2 2 2 2
Direct
0.7500 0.7500 0.3215 N
0.2500 0.2500 0.6785 N
0.2500 0.2500 0.1509 Pm
0.7500 0.7500 0.8491 Pm
0.7500 0.2500 0.5000 Au
0.2500 0.7500 0.5000 Au
0.2500 0.7500 0.0000 O
0.7500 0.2500 0.0000 O
```

PmAuNO | GGA-PBE | relaxed

```
PmAuNO
1.0
3.2466 3.9116 -0.1443
-3.8901 3.2037 -0.6820
-0.3909 0.4920 4.5410
O N Au Pm
2 2 2 2
Direct
0.0000 0.5000 0.0000 O
0.5000 0.0000 0.0000 O
0.0000 0.0000 0.5006 N
0.5000 0.5000 0.4994 N
0.5000 0.5000 0.9997 Au
0.0000 0.0000 0.0003 Au
0.0000 0.5000 0.5000 Pm
0.5000 0.0000 0.5000 Pm
```

PmAuNO | GGA-PBE | relaxed

```
PmAuNO
1.0
5.7787 0.0000 0.0000
0.0000 5.9190 0.0000
0.0000 0.0000 7.2296
Au O Pm N
4 4 4 4
Direct
0.0389 0.4427 0.9282 Au
0.5389 0.4427 0.0718 Au
0.4611 0.9427 0.9282 Au
0.9611 0.9427 0.0718 Au
0.7499 0.2060 0.4717 O
0.7501 0.7060 0.4717 O
0.2501 0.7060 0.5283 O
0.2499 0.2060 0.5283 O
0.4640 0.9558 0.3504 Pm
0.5360 0.4558 0.6496 Pm
0.0360 0.4558 0.3504 Pm
0.9640 0.9558 0.6496 Pm
0.2559 0.6931 0.0974 N
0.7559 0.6931 0.9026 N
0.2441 0.1931 0.0974 N
0.7441 0.1931 0.9026 N
```

PmAuNO | GGA-PBE | relaxed

```
PmAuNO
1.0
-1.7851 0.4454 4.7416
3.8790 -2.8019 1.7236
2.4903 3.8045 0.5802
Au Pm N O
2 2 2 2
Direct
0.7500 0.7500 0.9976 Au
0.2500 0.2500 0.0024 Au
0.2500 0.7500 0.5000 Pm
0.7500 0.2500 0.5000 Pm
0.2500 0.2500 0.5024 N
0.7500 0.7500 0.4976 N
0.2500 0.7500 0.0000 O
0.7500 0.2500 0.0000 O
```

Short version: E = -4.553, -6.204, -6.197, -6.298, -6.192, -6.141, -6.383, -6.141 eV per atom, in the order given.